Run i
A relaxed structure of ZnBiPO. Source: OQMD via LeMat-Bulk, functional PBE-GGA.

```
data_ZnBiPO
_space_group_name_H-M_alt 'P 4/n m m'
_space_group_IT_number 129
_cell_length_a 4.436
_cell_length_b 4.436
_cell_length_c 8.757
_cell_angle_alpha 90.00
_cell_angle_beta 90.00
_cell_angle_gamma 90.00
loop_
_space_group_symop_operation_xyz
'x,y,z'
'-x,-y,-z'
'-y+1/2,x,z'
'y+1/2,-x,-z'
'-x+1/2,-y+1/2,z'
'x+1/2,y+1/2,-z'
'y,-x+1/2,z'
'-y,x+1/2,-z'
'x+1/2,-y,-z'
'-x+1/2,y,z'
'-y,-x,-z'
'y,x,z'
'-x,y+1/2,-z'
'x,-y+1/2,z'
'y+1/2,x+1/2,-z'
'-y+1/2,-x+1/2,z'
loop_
_atom_site_label
_atom_site_fract_x
_atom_site_fract_y
_atom_site_fract_z
Zn1 0.250 0.250 0.012
Bi1 0.250 0.750 0.500
P1 0.250 0.250 0.300
O1 0.250 0.750 0.000
```

***

Run ii
A relaxed structure of ZnBiPO. Source: OQMD via LeMat-Bulk, functional PBE-GGA.

```
data_ZnBiPO
_space_group_name_H-M_alt 'P 4/n m m'
_space_group_IT_number 129
_cell_length_a 3.952
_cell_length_b 3.952
_cell_length_c 8.863
_cell_angle_alpha 90.00
_cell_angle_beta 90.00
_cell_angle_gamma 90.00
loop_
_space_group_symop_operation_xyz
'x,y,z'
'-x,-y,-z'
'-y+1/2,x,z'
'y+1/2,-x,-z'
'-x+1/2,-y+1/2,z'
'x+1/2,y+1/2,-z'
'y,-x+1/2,z'
'-y,x+1/2,-z'
'x+1/2,-y,-z'
'-x+1/2,y,z'
'-y,-x,-z'
'y,x,z'
'-x,y+1/2,-z'
'x,-y+1/2,z'
'y+1/2,x+1/2,-z'
'-y+1/2,-x+1/2,z'
loop_
_atom_site_label
_atom_site_fract_x
_atom_site_fract_y
_atom_site_fract_z
Zn1 0.250 0.750 0.000
Bi1 0.250 0.250 0.358
P1 0.250 0.250 0.832
O1 0.250 0.750 0.500
```

***

Run iii
A relaxed structure of ZnBiPO. Source: OQMD via LeMat-Bulk, functional PBE-GGA.

```
data_ZnBiPO
_space_group_name_H-M_alt 'R -3 m'
_space_group_IT_number 166
_space_group_name_Hall '-R 3 2"'
_cell_length_a 3.7017
_cell_length_b 3.7017
_cell_length_c 36.9882
_cell_angle_alpha 90.00
_cell_angle_beta 90.00
_cell_angle_gamma 120.00
loop_
_atom_site_label
_atom_site_fract_x
_atom_site_fract_y
_atom_site_fract_z
Zn1 0.0000 0.0000 0.1388
Bi1 0.0000 0.0000 0.2933
P1 0.0000 0.0000 0.4149
O1 0.0000 0.0000 0.1941
```

***

Run iv
A relaxed structure of ZnBiPO. Source: OQMD via LeMat-Bulk, functional PBE-GGA.

```
data_ZnBiPO
_space_group_name_H-M_alt 'P 4/n m m'
_space_group_IT_number 129
_cell_length_a 3.845
_cell_length_b 3.845
_cell_length_c 10.734
_cell_angle_alpha 90.00
_cell_angle_beta 90.00
_cell_angle_gamma 90.00
loop_
_space_group_symop_operation_xyz
'x,y,z'
'-x,-y,-z'
'-y+1/2,x,z'
'y+1/2,-x,-z'
'-x+1/2,-y+1/2,z'
'x+1/2,y+1/2,-z'
'y,-x+1/2,z'
'-y,x+1/2,-z'
'x+1/2,-y,-z'
'-x+1/2,y,z'
'-y,-x,-z'
'y,x,z'
'-x,y+1/2,-z'
'x,-y+1/2,z'
'y+1/2,x+1/2,-z'
'-y+1/2,-x+1/2,z'
loop_
_atom_site_label
_atom_site_fract_x
_atom_site_fract_y
_atom_site_fract_z
Zn1 0.250 0.250 0.108
Bi1 0.250 0.250 0.622
P1 0.250 0.250 0.884
O1 0.250 0.750 0.500
```

***

Most stable structure, least stable structure: run ii, run i.

***

Run i
A relaxed structure of ZnBiPO. Source: OQMD via LeMat-Bulk, functional PBE-GGA.

```
data_ZnBiPO
_space_group_name_H-M_alt 'P b a m'
_space_group_IT_number 55
_space_group_name_Hall '-P 2 2ab'
_cell_length_a 8.799
_cell_length_b 16.733
_cell_length_c 4.386
_cell_angle_alpha 90.00
_cell_angle_beta 90.00
_cell_angle_gamma 90.00
loop_
_atom_site_label
_atom_site_fract_x
_atom_site_fract_y
_atom_site_fract_z
Zn1 0.083 0.125 0.000
Zn2 0.086 0.625 0.000
Bi1 0.247 0.259 0.500
Bi2 0.250 0.491 0.500
P1 0.024 0.376 0.500
P2 0.027 0.874 0.500
O1 0.248 0.212 0.000
O2 0.249 0.038 0.000
```

***

Run ii
A relaxed structure of ZnBiPO. Source: OQMD via LeMat-Bulk, functional PBE-GGA.

```
data_ZnBiPO
_space_group_name_H-M_alt 'R -3 m'
_space_group_IT_number 166
_space_group_name_Hall '-R 3 2"'
_cell_length_a 3.9864
_cell_length_b 3.9864
_cell_length_c 31.0608
_cell_angle_alpha 90.00
_cell_angle_beta 90.00
_cell_angle_gamma 120.00
loop_
_atom_site_label
_atom_site_fract_x
_atom_site_fract_y
_atom_site_fract_z
Zn1 0.0000 0.0000 0.1958
Bi1 0.0000 0.0000 0.3823
P1 0.0000 0.0000 0.1139
O1 0.0000 0.0000 0.3067
```

***

Most stable structure, least stable structure: run ii, run i.